TaCr3N | PBE | relaxed

The structure in CIF format:
```
data_TaCr3N
_symmetry_space_group_name_H-M 'P 1'
_symmetry_Int_Tables_number 1
_cell_length_a 3.8918
_cell_length_b 3.8918
_cell_length_c 3.8918
_cell_angle_alpha 90.00
_cell_angle_beta 90.00
_cell_angle_gamma 90.00
loop_
_symmetry_equiv_pos_as_xyz
'x,y,z'
loop_
_atom_site_label
_atom_site_fract_x
_atom_site_fract_y
_atom_site_fract_z
_atom_site_occupancy
Cr1 0.0000 0.5000 0.0000 1
Cr2 0.0000 0.0000 0.5000 1
Cr3 0.5000 0.0000 0.0000 1
N1 0.0000 0.0000 0.0000 1
Ta1 0.5000 0.5000 0.5000 1
```

Values from the calculation:
Crystal system = cubic
Formation energy from raw total energies = -0.22 eV/atom
M_tot = 2.04 μB per cell
Energy above the lowest structure with this stoichiometry = 0.000 eV per atom

=====

NaSmS | PBE | relaxed

The structure in CIF format:
```
data_NaSmS
_symmetry_space_group_name_H-M 'P 1'
_symmetry_Int_Tables_number 1
_cell_length_a 5.5452
_cell_length_b 8.6135
_cell_length_c 8.6141
_cell_angle_alpha 60.73
_cell_angle_beta 69.31
_cell_angle_gamma 69.31
loop_
_symmetry_equiv_pos_as_xyz
'x,y,z'
loop_
_atom_site_label
_atom_site_fract_x
_atom_site_fract_y
_atom_site_fract_z
_atom_site_occupancy
Na1 0.1874 0.6559 0.9062 1
Na2 0.8130 0.8438 0.5940 1
Na3 0.8126 0.3441 0.0938 1
Na4 0.1870 0.1562 0.4060 1
S1 0.1628 0.4563 0.7064 1
S2 0.1627 0.9566 0.2064 1
S3 0.8372 0.5437 0.2936 1
S4 0.8373 0.0434 0.7936 1
Sm1 0.7024 0.4184 0.6685 1
Sm2 0.7023 0.9186 0.1685 1
Sm3 0.2976 0.5816 0.3315 1
Sm4 0.2977 0.0814 0.8315 1
```

Values from the calculation:
Crystal system = monoclinic
Formation energy from raw total energies = -1.07 eV/atom
M_tot = 0.00 μB per cell

=====

YSN2Cl | PBE | relaxed

The structure in CIF format:
```
data_YSN2Cl
_symmetry_space_group_name_H-M 'P 1'
_symmetry_Int_Tables_number 1
_cell_length_a 4.6445
_cell_length_b 4.6445
_cell_length_c 5.5036
_cell_angle_alpha 90.00
_cell_angle_beta 90.00
_cell_angle_gamma 90.00
loop_
_symmetry_equiv_pos_as_xyz
'x,y,z'
loop_
_atom_site_label
_atom_site_fract_x
_atom_site_fract_y
_atom_site_fract_z
_atom_site_occupancy
Y1 0.0000 0.0000 0.0000 1
S1 0.0000 0.0000 0.5000 1
N1 0.0000 0.5000 0.0000 1
N2 0.5000 0.0000 0.0000 1
Cl1 0.5000 0.5000 0.5000 1
```

Values from the calculation:
Crystal system = tetragonal
Formation energy from raw total energies = 0.93 eV/atom
M_tot = 4.78 μB per cell
Energy above the lowest structure with this stoichiometry = 0.000 eV per atom

=====

HoPu3 | PBE | relaxed

The structure in CIF format:
```
data_HoPu3
_symmetry_space_group_name_H-M 'P 1'
_symmetry_Int_Tables_number 1
_cell_length_a 4.8213
_cell_length_b 4.8213
_cell_length_c 5.9088
_cell_angle_alpha 114.08
_cell_angle_beta 114.08
_cell_angle_gamma 90.00
loop_
_symmetry_equiv_pos_as_xyz
'x,y,z'
loop_
_atom_site_label
_atom_site_fract_x
_atom_site_fract_y
_atom_site_fract_z
_atom_site_occupancy
Ho1 0.0000 0.0000 0.0000 1
Pu1 0.7500 0.2500 0.5000 1
Pu2 0.2500 0.7500 0.5000 1
Pu3 0.5000 0.5000 0.0000 1
```

Values from the calculation:
Formation energy = 252 meV per atom
Crystal system = tetragonal
M_tot = 17.87 μB per cell
Energy above the lowest structure with this stoichiometry = 0.003 eV per atom

=====

Dy6YHo2 | PBE | relaxed

The structure in CIF format:
```
data_Dy6YHo2
_symmetry_space_group_name_H-M 'P 1'
_symmetry_Int_Tables_number 1
_cell_length_a 3.5451
_cell_length_b 8.6672
_cell_length_c 12.7536
_cell_angle_alpha 132.76
_cell_angle_beta 82.02
_cell_angle_gamma 90.05
loop_
_symmetry_equiv_pos_as_xyz
'x,y,z'
loop_
_atom_site_label
_atom_site_fract_x
_atom_site_fract_y
_atom_site_fract_z
_atom_site_occupancy
Dy1 0.8882 0.5554 0.2222 1
Dy2 0.1118 0.4446 0.7778 1
Dy3 0.6673 0.6663 0.6660 1
Dy4 0.7784 0.1103 0.4439 1
Dy5 0.2216 0.8897 0.5561 1
Dy6 0.3327 0.3337 0.3340 1
Y1 0.0000 0.0000 0.0000 1
Ho1 0.4448 0.7765 0.1112 1
Ho2 0.5552 0.2235 0.8888 1
```

Values from the calculation:
Formation energy = 18 meV per atom
Crystal system = triclinic
M_tot = 0.00 μB per cell
Energy above the lowest structure with this stoichiometry = 0.000 eV per atom

=====

Ti3ZnW | PBE | relaxed

The structure in CIF format:
```
data_Ti3ZnW
_symmetry_space_group_name_H-M 'P 1'
_symmetry_Int_Tables_number 1
_cell_length_a 4.7803
_cell_length_b 4.7803
_cell_length_c 4.7803
_cell_angle_alpha 90.00
_cell_angle_beta 90.00
_cell_angle_gamma 90.00
loop_
_symmetry_equiv_pos_as_xyz
'x,y,z'
loop_
_atom_site_label
_atom_site_fract_x
_atom_site_fract_y
_atom_site_fract_z
_atom_site_occupancy
Zn1 0.5000 0.5000 0.5000 1
W1 0.0000 0.0000 0.0000 1
Ti1 0.0000 0.5000 0.0000 1
Ti2 0.0000 0.0000 0.5000 1
Ti3 0.5000 0.0000 0.0000 1
```

Values from the calculation:
Formation energy = 940 meV per atom
Crystal system = cubic
M_tot = 0.66 μB per cell
Energy above the lowest structure with this stoichiometry = 0.000 eV per atom

=====

Tb3SmPd2 | PBE | relaxed

The structure in CIF format:
```
data_Tb3SmPd2
_symmetry_space_group_name_H-M 'P 1'
_symmetry_Int_Tables_number 1
_cell_length_a 6.8287
_cell_length_b 7.2456
_cell_length_c 7.7939
_cell_angle_alpha 105.61
_cell_angle_beta 90.00
_cell_angle_gamma 118.11
loop_
_symmetry_equiv_pos_as_xyz
'x,y,z'
loop_
_atom_site_label
_atom_site_fract_x
_atom_site_fract_y
_atom_site_fract_z
_atom_site_occupancy
Tb1 0.2551 0.0000 0.7500 1
Tb2 0.7449 0.0000 0.2500 1
Tb3 0.7860 0.5743 0.8936 1
Tb4 0.2118 0.4257 0.6064 1
Tb5 0.7882 0.5743 0.3936 1
Tb6 0.2140 0.4257 0.1064 1
Sm1 0.2434 0.0000 0.2500 1
Sm2 0.7566 0.0000 0.7500 1
Pd1 0.3779 0.7558 0.4389 1
Pd2 0.3779 0.7558 0.9389 1
Pd3 0.6221 0.2442 0.0611 1
Pd4 0.6221 0.2442 0.5611 1
```

Values from the calculation:
Formation energy = -535 meV per atom
Crystal system = monoclinic
M_tot = 0.03 μB per cell

=====

Ac2NdAg5 | PBE | relaxed

The structure in CIF format:
```
data_Ac2NdAg5
_symmetry_space_group_name_H-M 'P 1'
_symmetry_Int_Tables_number 1
_cell_length_a 5.3974
_cell_length_b 5.3974
_cell_length_c 8.3004
_cell_angle_alpha 108.97
_cell_angle_beta 108.97
_cell_angle_gamma 90.00
loop_
_symmetry_equiv_pos_as_xyz
'x,y,z'
loop_
_atom_site_label
_atom_site_fract_x
_atom_site_fract_y
_atom_site_fract_z
_atom_site_occupancy
Ac1 0.7267 0.7267 0.4534 1
Ac2 0.2733 0.2733 0.5466 1
Nd1 0.0000 0.0000 0.0000 1
Ag1 0.5000 0.5000 0.0000 1
Ag2 0.8945 0.3945 0.7889 1
Ag3 0.3945 0.8945 0.7889 1
Ag4 0.1055 0.6055 0.2111 1
Ag5 0.6055 0.1055 0.2111 1
```

Values from the calculation:
Formation energy = -180 meV per atom
Crystal system = tetragonal
M_tot = 0.00 μB per cell

=====

BaPt | PBE | relaxed

The structure in CIF format:
```
data_BaPt
_symmetry_space_group_name_H-M 'P 1'
_symmetry_Int_Tables_number 1
_cell_length_a 5.0085
_cell_length_b 5.0085
_cell_length_c 5.0085
_cell_angle_alpha 60.00
_cell_angle_beta 60.00
_cell_angle_gamma 60.00
loop_
_symmetry_equiv_pos_as_xyz
'x,y,z'
loop_
_atom_site_label
_atom_site_fract_x
_atom_site_fract_y
_atom_site_fract_z
_atom_site_occupancy
Ba1 0.0000 0.0000 0.0000 1
Pt1 0.2500 0.2500 0.2500 1
```

Values from the calculation:
Formation energy = -345 meV per atom
Crystal system = cubic
M_tot = 0.00 μB per cell

=====

Ac2AgRh2 | PBE | relaxed

The structure in CIF format:
```
data_Ac2AgRh2
_symmetry_space_group_name_H-M 'P 1'
_symmetry_Int_Tables_number 1
_cell_length_a 4.0598
_cell_length_b 7.8415
_cell_length_c 7.8415
_cell_angle_alpha 90.00
_cell_angle_beta 90.00
_cell_angle_gamma 90.00
loop_
_symmetry_equiv_pos_as_xyz
'x,y,z'
loop_
_atom_site_label
_atom_site_fract_x
_atom_site_fract_y
_atom_site_fract_z
_atom_site_occupancy
Ac1 0.5000 0.1728 0.6728 1
Ac2 0.5000 0.6728 0.8272 1
Ac3 0.5000 0.8272 0.3272 1
Ac4 0.5000 0.3272 0.1728 1
Ag1 0.0000 0.0000 0.0000 1
Ag2 0.0000 0.5000 0.5000 1
Rh1 0.0000 0.3704 0.8704 1
Rh2 0.0000 0.8704 0.6296 1
Rh3 0.0000 0.6296 0.1296 1
Rh4 0.0000 0.1296 0.3704 1
```

Values from the calculation:
Formation energy = -518 meV per atom
Crystal system = tetragonal
M_tot = 0.00 μB per cell
Energy above the lowest structure with this stoichiometry = 0.015 eV per atom

=====

Mn2OsAu2 | PBE | relaxed

The structure in CIF format:
```
data_Mn2OsAu2
_symmetry_space_group_name_H-M 'P 1'
_symmetry_Int_Tables_number 1
_cell_length_a 7.2025
_cell_length_b 7.2025
_cell_length_c 2.8568
_cell_angle_alpha 90.00
_cell_angle_beta 90.00
_cell_angle_gamma 90.00
loop_
_symmetry_equiv_pos_as_xyz
'x,y,z'
loop_
_atom_site_label
_atom_site_fract_x
_atom_site_fract_y
_atom_site_fract_z
_atom_site_occupancy
Os1 0.0000 0.0000 0.0000 1
Os2 0.5000 0.5000 0.0000 1
Mn1 0.1659 0.6659 0.5000 1
Mn2 0.6659 0.8341 0.5000 1
Mn3 0.8341 0.3341 0.5000 1
Mn4 0.3341 0.1659 0.5000 1
Au1 0.3650 0.8650 0.0000 1
Au2 0.8650 0.6350 0.0000 1
Au3 0.6350 0.1350 0.0000 1
Au4 0.1350 0.3650 0.0000 1
```

Values from the calculation:
Formation energy = 920 meV per atom
Crystal system = tetragonal
M_tot = 0.00 μB per cell
Energy above the lowest structure with this stoichiometry = 0.095 eV per atom

=====

MoPd4 | PBE | relaxed

The structure in CIF format:
```
data_MoPd4
_symmetry_space_group_name_H-M 'P 1'
_symmetry_Int_Tables_number 1
_cell_length_a 4.7309
_cell_length_b 4.7309
_cell_length_c 4.7309
_cell_angle_alpha 90.00
_cell_angle_beta 90.00
_cell_angle_gamma 90.00
loop_
_symmetry_equiv_pos_as_xyz
'x,y,z'
loop_
_atom_site_label
_atom_site_fract_x
_atom_site_fract_y
_atom_site_fract_z
_atom_site_occupancy
Mo1 0.5000 0.5000 0.5000 1
Pd1 0.0000 0.0000 0.0000 1
Pd2 0.5000 0.0000 0.5000 1
Pd3 0.0000 0.5000 0.5000 1
Pd4 0.5000 0.5000 0.0000 1
```

Values from the calculation:
Formation energy = 1145 meV per atom
Crystal system = cubic
M_tot = 0.00 μB per cell

=====

LaYCu | PBE | relaxed

The structure in CIF format:
```
data_LaYCu
_symmetry_space_group_name_H-M 'P 1'
_symmetry_Int_Tables_number 1
_cell_length_a 4.8032
_cell_length_b 4.8032
_cell_length_c 8.9056
_cell_angle_alpha 74.36
_cell_angle_beta 74.36
_cell_angle_gamma 60.00
loop_
_symmetry_equiv_pos_as_xyz
'x,y,z'
loop_
_atom_site_label
_atom_site_fract_x
_atom_site_fract_y
_atom_site_fract_z
_atom_site_occupancy
La1 0.1363 0.1363 0.5912 1
La2 0.8637 0.8637 0.4088 1
Y1 0.6249 0.6249 0.1253 1
Y2 0.3751 0.3751 0.8747 1
Cu1 0.7429 0.7429 0.7712 1
Cu2 0.2571 0.2571 0.2288 1
```

Values from the calculation:
Formation energy = 73 meV per atom
Crystal system = trigonal
M_tot = 0.00 μB per cell
Energy above the lowest structure with this stoichiometry = 0.170 eV per atom